1.
Density functional theory data (PBE-GGA) for a relaxed ErTmPtPb crystal.

DFT formation energy (eV per atom): -0.747

```
data_ErTmPtPb
_space_group_name_H-M_alt 'F -4 3 m'
_space_group_IT_number 216
_space_group_name_Hall 'F -4 2 3'
_cell_length_a 7.2656
_cell_length_b 7.2656
_cell_length_c 7.2656
_cell_angle_alpha 90.00
_cell_angle_beta 90.00
_cell_angle_gamma 90.00
loop_
_atom_site_label
_atom_site_fract_x
_atom_site_fract_y
_atom_site_fract_z
_atom_site_occupancy
Er1 0.0000 0.0000 0.0000 1
Tm1 0.0000 0.0000 0.5000 1
Pt1 0.2500 0.2500 0.7500 1
Pb1 0.2500 0.2500 0.2500 1
```

2.
Density functional theory data (PBE-GGA) for a relaxed Er3PuPb12 crystal.

DFT formation energy (eV per atom): -0.225

```
data_Er3PuPb12
_space_group_name_H-M_alt 'P 4/m m m'
_space_group_IT_number 123
_space_group_name_Hall '-P 4 2'
_cell_length_a 4.8684
_cell_length_b 4.8684
_cell_length_c 19.4195
_cell_angle_alpha 90.00
_cell_angle_beta 90.00
_cell_angle_gamma 90.00
loop_
_atom_site_label
_atom_site_fract_x
_atom_site_fract_y
_atom_site_fract_z
_atom_site_occupancy
Er1 0.0000 0.0000 0.0000 1
Er2 0.0000 0.0000 0.2511 1
Pu1 0.0000 0.0000 0.5000 1
Pb1 0.0000 0.5000 0.1251 1
Pb2 0.0000 0.5000 0.3744 1
Pb3 0.5000 0.5000 0.0000 1
Pb4 0.5000 0.5000 0.2497 1
Pb5 0.5000 0.5000 0.5000 1
```

3.
Density functional theory data (PBE-GGA) for a relaxed ErPuPb2 crystal.

DFT formation energy (eV per atom): -0.288

```
data_ErPuPb2
_space_group_name_H-M_alt 'P 4/m m m'
_space_group_IT_number 123
_space_group_name_Hall '-P 4 2'
_cell_length_a 3.4974
_cell_length_b 3.4974
_cell_length_c 9.0897
_cell_angle_alpha 90.00
_cell_angle_beta 90.00
_cell_angle_gamma 90.00
loop_
_atom_site_label
_atom_site_fract_x
_atom_site_fract_y
_atom_site_fract_z
_atom_site_occupancy
Er1 0.0000 0.0000 0.0000 1
Pu1 0.0000 0.0000 0.5000 1
Pb1 0.5000 0.5000 0.2441 1
```

4.
Density functional theory data (PBE-GGA) for a relaxed ErPuPb2 crystal.

DFT formation energy (eV per atom): -0.258

```
data_ErPuPb2
_space_group_name_H-M_alt 'P 4/m m m'
_space_group_IT_number 123
_space_group_name_Hall '-P 4 2'
_cell_length_a 4.9610
_cell_length_b 4.9610
_cell_length_c 4.5362
_cell_angle_alpha 90.00
_cell_angle_beta 90.00
_cell_angle_gamma 90.00
loop_
_atom_site_label
_atom_site_fract_x
_atom_site_fract_y
_atom_site_fract_z
_atom_site_occupancy
Er1 0.0000 0.0000 0.0000 1
Pu1 0.5000 0.5000 0.0000 1
Pb1 0.0000 0.5000 0.5000 1
```

5.
Density functional theory data (PBE-GGA) for a relaxed ErPuPb6 crystal.

DFT formation energy (eV per atom): -0.120

```
data_ErPuPb6
_space_group_name_H-M_alt 'P 4/m m m'
_space_group_IT_number 123
_space_group_name_Hall '-P 4 2'
_cell_length_a 5.6952
_cell_length_b 5.6952
_cell_length_c 7.2985
_cell_angle_alpha 90.00
_cell_angle_beta 90.00
_cell_angle_gamma 90.00
loop_
_atom_site_label
_atom_site_fract_x
_atom_site_fract_y
_atom_site_fract_z
_atom_site_occupancy
Er1 0.0000 0.0000 0.0000 1
Pu1 0.0000 0.0000 0.5000 1
Pb1 0.0000 0.5000 0.2428 1
Pb2 0.5000 0.5000 0.0000 1
Pb3 0.5000 0.5000 0.5000 1
```

6.
Density functional theory data (PBE-GGA) for a relaxed ErPuPb2 crystal.

DFT formation energy (eV per atom): -0.178

```
data_ErPuPb2
_space_group_name_H-M_alt 'R 3 m'
_space_group_IT_number 160
_space_group_name_Hall 'R 3 -2"'
_cell_length_a 3.5786
_cell_length_b 3.5786
_cell_length_c 31.3160
_cell_angle_alpha 90.00
_cell_angle_beta 90.00
_cell_angle_gamma 120.00
loop_
_atom_site_label
_atom_site_fract_x
_atom_site_fract_y
_atom_site_fract_z
_atom_site_occupancy
Er1 0.0000 0.0000 0.0000 1
Pu1 0.0000 0.0000 0.8324 1
Pb1 0.0000 0.0000 0.4145 1
Pb2 0.0000 0.0000 0.5849 1
```

7.
Density functional theory data (PBE-GGA) for a relaxed ErPu5Pb6 crystal.

DFT formation energy (eV per atom): -0.169

```
data_ErPu5Pb6
_space_group_name_H-M_alt 'P 1 2/m 1'
_space_group_IT_number 10
_space_group_name_Hall '-P 2y'
_cell_length_a 4.9480
_cell_length_b 9.1552
_cell_length_c 7.8298
_cell_angle_alpha 90.00
_cell_angle_beta 108.27
_cell_angle_gamma 90.00
loop_
_atom_site_label
_atom_site_fract_x
_atom_site_fract_y
_atom_site_fract_z
_atom_site_occupancy
Er1 0.0000 0.0000 0.0000 1
Pu1 0.0000 0.5000 0.0000 1
Pu2 0.3270 0.5000 0.6536 1
Pu3 0.3297 0.0000 0.6586 1
Pb1 0.1639 0.2483 0.3283 1
Pb2 0.5000 0.2490 0.0000 1
```

8.
Density functional theory data (PBE-GGA) for a relaxed ErPuRhPb crystal.

DFT formation energy (eV per atom): -0.269

```
data_ErPuRhPb
_space_group_name_H-M_alt 'F -4 3 m'
_space_group_IT_number 216
_space_group_name_Hall 'F -4 2 3'
_cell_length_a 7.2793
_cell_length_b 7.2793
_cell_length_c 7.2793
_cell_angle_alpha 90.00
_cell_angle_beta 90.00
_cell_angle_gamma 90.00
loop_
_atom_site_label
_atom_site_fract_x
_atom_site_fract_y
_atom_site_fract_z
_atom_site_occupancy
Er1 0.0000 0.0000 0.0000 1
Pu1 0.0000 0.0000 0.5000 1
Rh1 0.2500 0.2500 0.7500 1
Pb1 0.2500 0.2500 0.2500 1
```

9.
Density functional theory data (PBE-GGA) for a relaxed ErPuRuPb crystal.

Energy above the most stable polymorph in this dataset (eV per formula unit): 1.03
DFT formation energy (eV per atom): -0.049

```
data_ErPuRuPb
_space_group_name_H-M_alt 'F -4 3 m'
_space_group_IT_number 216
_space_group_name_Hall 'F -4 2 3'
_cell_length_a 7.2232
_cell_length_b 7.2232
_cell_length_c 7.2232
_cell_angle_alpha 90.00
_cell_angle_beta 90.00
_cell_angle_gamma 90.00
loop_
_atom_site_label
_atom_site_fract_x
_atom_site_fract_y
_atom_site_fract_z
_atom_site_occupancy
Er1 0.0000 0.0000 0.0000 1
Pu1 0.0000 0.0000 0.5000 1
Ru1 0.2500 0.2500 0.2500 1
Pb1 0.2500 0.2500 0.7500 1
```

10.
Density functional theory data (PBE-GGA) for a relaxed ErPuRuPb crystal.

Energy above the most stable polymorph in this dataset (eV per formula unit): 0.00
DFT formation energy (eV per atom): -0.307

```
data_ErPuRuPb
_space_group_name_H-M_alt 'P 4 m m'
_space_group_IT_number 99
_space_group_name_Hall 'P 4 -2'
_cell_length_a 3.3255
_cell_length_b 3.3255
_cell_length_c 8.6218
_cell_angle_alpha 90.00
_cell_angle_beta 90.00
_cell_angle_gamma 90.00
loop_
_atom_site_label
_atom_site_fract_x
_atom_site_fract_y
_atom_site_fract_z
_atom_site_occupancy
Er1 0.0000 0.0000 0.0000 1
Pu1 0.0000 0.0000 0.6018 1
Ru1 0.5000 0.5000 0.8022 1
Pb1 0.5000 0.5000 0.2975 1
```

11.
Density functional theory data (PBE-GGA) for a relaxed Er4PuPbS8 crystal.

ΔE_f (raw) (eV/f.u.): -23.86

```
data_Er4PuPbS8
_space_group_name_H-M_alt 'R 3 m'
_space_group_IT_number 160
_space_group_name_Hall 'R 3 -2"'
_cell_length_a 8.0712
_cell_length_b 8.0712
_cell_length_c 20.2461
_cell_angle_alpha 90.00
_cell_angle_beta 90.00
_cell_angle_gamma 120.00
loop_
_atom_site_label
_atom_site_fract_x
_atom_site_fract_y
_atom_site_fract_z
_atom_site_occupancy
Er1 0.0000 0.0000 0.0000 1
Er2 0.0041 0.5020 0.1256 1
Pu1 0.0000 0.0000 0.6243 1
Pb1 0.0000 0.0000 0.2503 1
S1 0.0000 0.0000 0.3907 1
S2 0.0000 0.0000 0.8677 1
S3 0.0145 0.5073 0.3806 1
S4 0.1829 0.3659 0.2003 1
```

12.
Density functional theory data (PBE-GGA) for a relaxed ErPuSnPb crystal.

DFT formation energy (eV per atom): -0.315

```
data_ErPuSnPb
_space_group_name_H-M_alt 'F -4 3 m'
_space_group_IT_number 216
_space_group_name_Hall 'F -4 2 3'
_cell_length_a 7.5950
_cell_length_b 7.5950
_cell_length_c 7.5950
_cell_angle_alpha 90.00
_cell_angle_beta 90.00
_cell_angle_gamma 90.00
loop_
_atom_site_label
_atom_site_fract_x
_atom_site_fract_y
_atom_site_fract_z
_atom_site_occupancy
Er1 0.0000 0.0000 0.0000 1
Pu1 0.0000 0.0000 0.5000 1
Sn1 0.2500 0.2500 0.7500 1
Pb1 0.2500 0.2500 0.2500 1
```

Number 1: total magnetization 0.000 μB/atom, total energy -5.4425 eV per atom. Number 2: total magnetization 0.360 μB/atom, total energy -4.7574 eV per atom. Number 3: total magnetization 1.520 μB/atom, total energy -6.8655 eV per atom. Number 4: total magnetization 1.604 μB/atom, total energy -6.8359 eV per atom. Number 5: total magnetization 0.707 μB/atom, total energy -5.2630 eV per atom. Number 6: total magnetization 1.482 μB/atom, total energy -6.7557 eV per atom. Number 7: total magnetization 1.533 μB/atom, total energy -8.3752 eV per atom. Number 8: total magnetization 1.277 μB/atom, total energy -7.7579 eV per atom. Number 9: total magnetization 1.256 μB/atom, total energy -8.0189 eV per atom. Number 10: total magnetization 1.223 μB/atom, total energy -8.2766 eV per atom. Number 11: total magnetization 0.428 μB/atom, total energy -6.6548 eV per atom. Number 12: total magnetization 1.498 μB/atom, total energy -6.9664 eV per atom.